[1]
First-principles (PBE with a Hubbard U) data for an optimized crystal structure of KCr2SeF, as listed in Alexandria via LeMat-Bulk.

Geometry as POSCAR:
```
KCr2SeF
1.0
-1.1342 -0.7611 5.3773
3.9645 -1.6469 0.6031
1.9370 5.0754 1.1269
Cr Se K F
2 1 1 1
Cartesian
-0.5671 -0.3805 2.6887
0.9685 2.5377 0.5634
2.3836 1.3337 3.5537
0.0000 0.0000 0.0000
1.9823 -0.8235 0.3016
```

* electronic total energy: -21.02 eV/cell
* DOS(E_F): 0.59 states/eV/f.u.
* symmetry: P4/mmm

[2]
First-principles (PBE with a Hubbard U) data for an optimized crystal structure of K2SmCrF8, as listed in Alexandria via LeMat-Bulk.

Geometry as POSCAR:
```
K2SmCrF8
1.0
-3.0945 2.7826 1.0515
-1.2227 0.0625 -6.0504
-4.6067 -5.4535 0.8748
F Sm K Cr
8 1 2 1
Cartesian
-1.4000 1.0646 -0.7361
-4.8327 -3.9565 -4.1300
-3.9881 -1.4325 -0.3662
-4.0912 1.3482 0.0059
-2.2743 -0.9279 -4.6158
-4.9358 -1.1759 -3.7580
-7.5238 -3.6730 -3.3880
-6.6496 -1.6805 0.4916
-2.3034 -2.7267 0.4374
-5.6927 -2.7611 -1.8284
-3.2312 0.1528 -2.2958
0.0000 0.0000 0.0000
```

* electronic total energy: -67.33 eV/cell
* DOS(E_F): 0.00 states/eV/f.u.
* symmetry: P2/m

[3]
First-principles (PBE with a Hubbard U) data for an optimized crystal structure of KSmCrF6, as listed in Alexandria via LeMat-Bulk.

Geometry as POSCAR:
```
KSmCrF6
1.0
5.9852 0.0000 0.0000
-2.9926 5.1834 0.0000
0.0000 0.0000 10.7521
K F Sm Cr
2 12 2 2
Cartesian
0.0000 0.0000 0.0000
0.0000 0.0000 5.3760
3.7613 0.0762 9.1990
-1.8147 3.2955 3.8229
1.1779 1.8879 9.1990
1.8147 3.2955 1.5531
4.0386 3.2193 9.1990
-1.0460 1.9641 1.5531
-0.7687 5.1072 1.5531
0.7687 5.1072 3.8229
1.9467 3.2193 6.9291
1.0460 1.9641 3.8229
4.8073 1.8879 6.9291
2.2239 0.0762 6.9291
2.9926 1.7278 2.6880
0.0000 3.4556 8.0640
0.0000 3.4556 2.6880
2.9926 1.7278 8.0640
```

* electronic total energy: -106.33 eV/cell
* DOS(E_F): 6.99 states/eV/f.u.
* symmetry: P-31c

[4]
First-principles (PBE with a Hubbard U) data for an optimized crystal structure of KSrCrF6, as listed in Alexandria via LeMat-Bulk.

Geometry as POSCAR:
```
KSrCrF6
1.0
-2.7012 -5.2987 -1.1000
5.0309 1.5099 -2.9988
5.5708 -4.3277 7.1667
F Cr K Sr
12 2 2 2
Cartesian
0.0120 -2.6504 0.4049
5.8686 -4.9129 4.5672
5.4354 -2.4913 3.3404
7.9297 -3.0292 4.1025
7.8885 -5.4661 2.6630
7.3918 -3.1691 1.4104
2.0319 -3.2036 -1.4993
-0.0292 -5.0873 -1.0346
0.5087 -4.9473 1.6575
2.6246 -3.1528 1.0964
5.2759 -4.9637 1.9714
2.4651 -5.6252 -0.2725
6.6316 -4.0054 3.0092
1.2689 -4.1111 0.0587
0.0000 0.0000 0.0000
2.7854 -2.1638 3.5834
3.8463 -1.8415 -0.5742
4.0543 -6.2749 3.6421
```

* electronic total energy: -100.31 eV/cell
* DOS(E_F): 0.00 states/eV/f.u.
* symmetry: P-31c

[5]
First-principles (PBE with a Hubbard U) data for an optimized crystal structure of K3SrCr2F9, as listed in Alexandria via LeMat-Bulk.

Geometry as POSCAR:
```
K3SrCr2F9
1.0
-3.6464 -4.9041 -0.3712
4.1171 1.0934 -4.3976
5.3287 -4.2595 3.9297
F K Sr Cr
9 3 1 2
Cartesian
3.1519 -4.4503 1.8444
2.6473 -3.6200 -2.6835
3.3803 -6.2996 -0.4699
2.0585 0.5467 -2.1988
2.4189 -1.7707 -0.3692
0.2353 -1.9054 -2.3844
-1.8232 -2.4520 -0.1856
4.4170 -1.2400 -2.5034
1.3823 -6.8302 1.6643
0.4623 -4.1207 -0.5917
0.0000 0.0000 0.0000
5.3370 -3.9496 -0.2473
2.6643 -2.1298 1.9648
2.3482 -1.5604 -2.4515
3.4511 -6.5099 1.6125
```

* electronic total energy: -79.58 eV/cell
* DOS(E_F): 2.09 states/eV/f.u.
* symmetry: P-3m1

[6]
First-principles (PBE with a Hubbard U) data for an optimized crystal structure of KTbCrF6, as listed in Alexandria via LeMat-Bulk.

Geometry as POSCAR:
```
KTbCrF6
1.0
5.9014 0.0000 0.0000
-2.9507 5.1108 0.0000
0.0000 0.0000 10.9006
F Cr K Tb
12 2 2 2
Cartesian
1.8137 3.2274 1.5912
4.0133 3.1844 9.3094
1.8881 3.1844 7.0415
-1.8137 3.2274 3.8591
0.7511 5.0678 3.8591
-1.0626 1.9264 1.5912
4.7644 1.8834 7.0415
-0.7511 5.0678 1.5912
3.7018 0.0430 9.3094
2.1996 0.0430 7.0415
1.1370 1.8834 9.3094
1.0626 1.9264 3.8591
2.9507 1.7036 8.1754
0.0000 3.4072 2.7251
0.0000 0.0000 0.0000
0.0000 0.0000 5.4503
2.9507 1.7036 2.7251
0.0000 3.4072 8.1754
```

* electronic total energy: -106.73 eV/cell
* DOS(E_F): 6.74 states/eV/f.u.
* symmetry: P-31c

[7]
First-principles (PBE with a Hubbard U) data for an optimized crystal structure of KTiCrF2, as listed in Alexandria via LeMat-Bulk.

Geometry as POSCAR:
```
KTiCrF2
1.0
4.6810 0.0000 0.0000
0.0000 5.7914 0.0000
0.0000 0.0000 4.6810
Ti F K Cr
1 2 1 1
Cartesian
0.0000 2.8957 0.0000
0.0000 0.0000 2.3405
2.3405 0.0000 0.0000
0.0000 0.0000 0.0000
2.3405 2.8957 2.3405
```

* electronic total energy: -20.88 eV/cell
* DOS(E_F): 14.76 states/eV/f.u.
* symmetry: P4/mmm

[8]
First-principles (PBE with a Hubbard U) data for an optimized crystal structure of KTl2CrF5, as listed in Alexandria via LeMat-Bulk.

Geometry as POSCAR:
```
KTl2CrF5
1.0
4.1329 0.0000 0.0000
0.0000 5.9462 0.0000
-2.0665 -2.9731 6.8589
F Tl K Cr
5 2 1 1
Cartesian
0.0000 0.0000 0.0000
2.0665 1.4333 1.3994
0.0000 1.5398 5.4595
2.0665 4.5129 1.3994
0.0000 -1.5398 5.4595
2.0665 2.9731 3.6924
0.0000 0.0000 3.1666
0.0000 2.9731 0.0000
2.0665 0.0000 0.0000
```

* electronic total energy: -42.73 eV/cell
* DOS(E_F): 1.67 states/eV/f.u.
* symmetry: Immm

[9]
First-principles (PBE with a Hubbard U) data for an optimized crystal structure of KTl3Cr2F9, as listed in Alexandria via LeMat-Bulk.

Geometry as POSCAR:
```
KTl3Cr2F9
1.0
-0.5551 -4.3878 -4.2565
0.3502 -1.5119 5.9388
-7.8545 0.4365 0.5743
F Tl K Cr
9 3 1 2
Cartesian
-0.2775 -2.1939 -2.1282
-2.3463 -3.9145 2.3140
-5.8068 -4.2509 0.7132
-2.0921 -1.9048 4.2636
-5.9673 -3.5584 -2.0069
-5.7130 -1.5487 -0.0573
-0.1024 -2.9498 0.8412
0.1751 -0.7559 2.9694
-2.2525 -1.2123 1.5435
0.0000 0.0000 0.0000
-2.8327 -3.2858 -0.6694
-5.2266 -2.1774 2.9261
-3.9273 0.2182 0.2872
-1.0979 -2.4068 2.6242
-6.9615 -3.0564 -0.3675
```

* electronic total energy: -74.81 eV/cell
* DOS(E_F): 5.64 states/eV/f.u.
* symmetry: P-3m1

[10]
First-principles (PBE with a Hubbard U) data for an optimized crystal structure of K3Tl3CrF8, as listed in Alexandria via LeMat-Bulk.

Geometry as POSCAR:
```
K3Tl3CrF8
1.0
-5.9227 0.5351 4.9601
5.7292 -4.9809 1.3763
1.2640 7.5778 0.5346
F Tl K Cr
8 3 3 1
Cartesian
-3.6647 5.9274 4.2648
1.2669 -2.2342 5.5538
-0.1963 5.3661 1.3172
1.9513 3.4976 1.8329
1.6435 -0.5423 2.0075
-0.8807 -0.3657 5.0381
4.7353 -2.7956 2.6062
-0.5730 3.6742 4.8635
3.4966 1.2984 0.9555
0.5353 1.5659 3.4355
-2.3293 4.0564 2.7473
-0.0967 -2.2229 3.1682
2.8646 -2.4905 0.6881
0.0000 0.0000 0.0000
0.6320 3.7889 0.2673
```

* electronic total energy: -67.43 eV/cell
* symmetry: C2/m

[11]
First-principles (PBE with a Hubbard U) data for an optimized crystal structure of KTlCrF6, as listed in Alexandria via LeMat-Bulk.

Geometry as POSCAR:
```
KTlCrF6
1.0
6.0622 0.0000 0.0000
-3.0311 5.2501 0.0000
0.0000 0.0000 9.9172
F Cr K Tl
12 2 2 2
Cartesian
0.7847 4.9112 3.5544
3.8159 0.3389 8.5130
-1.6145 3.4741 3.5544
4.6456 1.7760 6.3628
3.8608 3.1352 8.5130
1.4167 1.7760 8.5130
-0.8297 2.1149 1.4042
1.6145 3.4741 1.4042
0.8297 2.1149 3.5544
2.2464 0.3389 6.3628
2.2014 3.1352 6.3628
-0.7847 4.9112 1.4042
3.0311 1.7500 7.4379
0.0000 3.5000 2.4793
0.0000 0.0000 0.0000
0.0000 0.0000 4.9586
3.0311 1.7500 2.4793
0.0000 3.5000 7.4379
```

* electronic total energy: -88.47 eV/cell
* DOS(E_F): 2.54 states/eV/f.u.
* symmetry: P-31c

[12]
First-principles (PBE with a Hubbard U) data for an optimized crystal structure of K2TlCr2F7, as listed in Alexandria via LeMat-Bulk.

Geometry as POSCAR:
```
K2TlCr2F7
1.0
4.3832 -0.0025 0.0118
0.0029 4.3832 0.0118
2.1662 2.1636 10.5082
K F Cr Tl
2 7 2 1
Cartesian
4.3750 4.3697 3.8596
2.1773 2.1747 6.6722
2.1882 4.3761 2.0925
2.1735 4.3615 8.4393
2.1821 2.1795 4.0728
4.3702 4.3649 6.4591
2.1930 2.1904 0.0118
4.3641 2.1682 8.4393
4.3788 2.1829 2.0925
2.1872 2.1845 2.0722
4.3651 4.3599 8.4596
0.0000 0.0000 0.0000
```

* electronic total energy: -62.86 eV/cell
* symmetry: I4/mmm